# 1
Computed, not measured: a relaxed structure of Mg2GaPtPb at the GGA-PBE level of DFT. Values from VASP.

Results
DFT total energy: -3.4792 eV/atom
D(E_F): 2.77 states/eV/cell
ΔE_f: -6.6 kcal/mol of atoms

Geometry as Quantum ESPRESSO input:
```
&SYSTEM
  ibrav = 0, nat = 5, ntyp = 4
/
ATOMIC_SPECIES
Pt 195.08 Pt.upf
Ga 69.72 Ga.upf
Mg 24.30 Mg.upf
Pb 207.20 Pb.upf
ATOMIC_POSITIONS angstrom
Pt 0.000 0.000 0.000
Ga 0.000 0.000 2.401
Mg 0.000 2.535 0.000
Pb 2.535 2.535 2.401
Mg 2.535 0.000 0.000
CELL_PARAMETERS angstrom
5.070 0.000 0.000
0.000 5.070 0.000
0.000 0.000 4.801
```

***

# 2
Computed, not measured: a relaxed structure of PuMgGaPb at the GGA-PBE level of DFT. Values from VASP.

Results
DFT total energy: -5.7928 eV/atom
D(E_F): 13.29 states/eV/cell
ΔE_f: -2.9 kcal/mol of atoms

Geometry as Quantum ESPRESSO input:
```
&SYSTEM
  ibrav = 0, nat = 4, ntyp = 4
/
ATOMIC_SPECIES
Mg 24.30 Mg.upf
Pu 244.00 Pu.upf
Pb 207.20 Pb.upf
Ga 69.72 Ga.upf
ATOMIC_POSITIONS angstrom
Mg 7.756 4.478 3.166
Pu 2.585 1.493 1.055
Pb 5.171 2.985 2.111
Ga 0.000 0.000 0.000
CELL_PARAMETERS angstrom
5.171 0.000 0.000
2.585 4.478 0.000
2.585 1.493 4.222
```

***

# 3
Computed, not measured: a relaxed structure of RbMg2GaPb4 at the GGA-PBE level of DFT. Values from VASP.

Results
DFT total energy: -2.7683 eV/atom
D(E_F): 4.11 states/eV/cell
ΔE_f: -0.4 kcal/mol of atoms

Geometry as Quantum ESPRESSO input:
```
&SYSTEM
  ibrav = 0, nat = 8, ntyp = 4
/
ATOMIC_SPECIES
Rb 85.47 Rb.upf
Pb 207.20 Pb.upf
Ga 69.72 Ga.upf
Mg 24.30 Mg.upf
ATOMIC_POSITIONS angstrom
Rb 0.000 0.000 0.000
Pb -7.638 0.956 6.506
Ga -6.577 2.097 4.177
Mg -3.494 0.828 2.539
Pb -8.458 4.661 3.174
Pb -5.517 3.238 1.848
Pb -4.697 -0.467 5.181
Mg -9.661 3.366 5.815
CELL_PARAMETERS angstrom
-1.992 4.816 1.453
-4.975 1.450 -1.555
-6.188 -2.072 8.456
```

***

# 4
Computed, not measured: a relaxed structure of MgGaPbS2 at the GGA-PBE level of DFT. Values from VASP.

Results
DFT total energy: -3.1093 eV/atom
D(E_F): 3.71 states/eV/cell
energy relative to the elements, uncorrected: 0.208 eV per atom

Geometry as Quantum ESPRESSO input:
```
&SYSTEM
  ibrav = 0, nat = 5, ntyp = 4
/
ATOMIC_SPECIES
S 32.06 S.upf
Ga 69.72 Ga.upf
Pb 207.20 Pb.upf
Mg 24.30 Mg.upf
ATOMIC_POSITIONS angstrom
S -2.074 0.991 -0.606
S 0.593 1.970 1.190
Ga 0.000 0.000 0.000
Pb -1.185 -1.054 2.334
Mg -2.665 1.906 2.918
CELL_PARAMETERS angstrom
-4.147 1.981 -1.211
-2.370 -2.107 4.667
1.186 3.939 2.381
```

***

# 5
Computed, not measured: a relaxed structure of MgGaPb2S5 at the GGA-PBE level of DFT. Values from VASP.

Results
DFT total energy: -4.2848 eV/atom
D(E_F): 4.97 states/eV/cell
energy relative to the elements, uncorrected: -0.654 eV per atom

Geometry as Quantum ESPRESSO input:
```
&SYSTEM
  ibrav = 0, nat = 18, ntyp = 4
/
ATOMIC_SPECIES
Pb 207.20 Pb.upf
S 32.06 S.upf
Ga 69.72 Ga.upf
Mg 24.30 Mg.upf
ATOMIC_POSITIONS angstrom
Pb 1.881 6.505 2.179
S 0.000 8.666 9.480
Pb 0.000 2.379 3.903
S 0.000 6.024 0.020
S 0.000 5.882 4.531
Pb 1.881 6.610 9.981
S 1.881 3.107 10.609
S 1.881 2.965 6.098
S 1.881 0.323 3.402
Ga 1.881 0.915 11.369
Mg 1.881 5.519 6.307
S 1.881 3.713 2.067
S 0.000 5.276 8.144
Ga 0.000 8.074 5.291
S 0.000 0.764 0.549
Pb 0.000 2.484 8.257
Mg 0.000 3.470 0.230
S 1.881 8.225 6.626
CELL_PARAMETERS angstrom
3.761 0.000 0.000
-1.881 8.989 0.000
0.000 0.000 12.155
```

***

# 6
Computed, not measured: a relaxed structure of MgGa2PbS at the GGA-PBE level of DFT. Values from VASP.

Results
DFT total energy: -2.5966 eV/atom
D(E_F): 0.96 states/eV/cell
energy relative to the elements, uncorrected: 0.500 eV per atom

Geometry as Quantum ESPRESSO input:
```
&SYSTEM
  ibrav = 0, nat = 5, ntyp = 4
/
ATOMIC_SPECIES
Ga 69.72 Ga.upf
Mg 24.30 Mg.upf
Pb 207.20 Pb.upf
S 32.06 S.upf
ATOMIC_POSITIONS angstrom
Ga 0.000 0.000 2.716
Mg 0.000 2.693 0.000
Pb 0.000 0.000 0.000
Ga 2.716 0.000 0.000
S 2.716 2.693 2.716
CELL_PARAMETERS angstrom
5.431 0.000 0.000
0.000 5.386 0.000
0.000 0.000 5.431
```

***

# 7
Computed, not measured: a relaxed structure of Mg2GaSbPb at the GGA-PBE level of DFT. Values from VASP.

Results
DFT total energy: -2.5907 eV/atom
D(E_F): 2.36 states/eV/cell
energy relative to the elements, uncorrected: 0.219 eV per atom

Geometry as Quantum ESPRESSO input:
```
&SYSTEM
  ibrav = 0, nat = 5, ntyp = 4
/
ATOMIC_SPECIES
Mg 24.30 Mg.upf
Ga 69.72 Ga.upf
Pb 207.20 Pb.upf
Sb 121.76 Sb.upf
ATOMIC_POSITIONS angstrom
Mg -2.094 -0.708 -1.149
Ga 0.000 0.000 0.000
Mg -1.219 0.083 2.171
Pb -2.644 -3.382 1.502
Sb 0.669 -2.756 0.480
CELL_PARAMETERS angstrom
-4.187 -1.416 -2.298
1.337 -5.512 0.961
-2.438 0.165 4.341
```

***

# 8
Computed, not measured: a relaxed structure of MgGa2PbSe at the GGA-PBE level of DFT. Values from VASP.

Results
DFT total energy: -2.6472 eV/atom
D(E_F): 3.06 states/eV/cell
energy relative to the elements, uncorrected: 0.321 eV per atom

Geometry as Quantum ESPRESSO input:
```
&SYSTEM
  ibrav = 0, nat = 5, ntyp = 4
/
ATOMIC_SPECIES
Mg 24.30 Mg.upf
Se 78.96 Se.upf
Ga 69.72 Ga.upf
Pb 207.20 Pb.upf
ATOMIC_POSITIONS angstrom
Mg -4.295 -1.959 -0.705
Se 0.000 0.000 0.000
Ga -2.206 0.740 1.301
Pb -0.763 -2.809 0.305
Ga -1.326 0.110 -2.310
CELL_PARAMETERS angstrom
-2.651 0.219 -4.620
-1.526 -5.618 0.609
-4.412 1.480 2.602
```

***

# 9
Computed, not measured: a relaxed structure of Mg2GaPbSe at the GGA-PBE level of DFT. Values from VASP.

Results
DFT total energy: -2.5085 eV/atom
D(E_F): 4.45 states/eV/cell
energy relative to the elements, uncorrected: 0.173 eV per atom

Geometry as Quantum ESPRESSO input:
```
&SYSTEM
  ibrav = 0, nat = 5, ntyp = 4
/
ATOMIC_SPECIES
Ga 69.72 Ga.upf
Pb 207.20 Pb.upf
Mg 24.30 Mg.upf
Se 78.96 Se.upf
ATOMIC_POSITIONS angstrom
Ga 0.000 0.000 0.000
Pb 2.484 2.831 2.484
Mg 2.484 0.000 0.000
Se 0.000 2.831 0.000
Mg 0.000 0.000 2.484
CELL_PARAMETERS angstrom
4.968 0.000 0.000
0.000 5.661 0.000
0.000 0.000 4.968
```

***

# 10
Computed, not measured: a relaxed structure of MgGaSiPb2 at the GGA-PBE level of DFT. Values from VASP.

Results
DFT total energy: -2.8438 eV/atom
D(E_F): 3.78 states/eV/cell
energy relative to the elements, uncorrected: 0.648 eV per atom

Geometry as Quantum ESPRESSO input:
```
&SYSTEM
  ibrav = 0, nat = 5, ntyp = 4
/
ATOMIC_SPECIES
Si 28.09 Si.upf
Pb 207.20 Pb.upf
Ga 69.72 Ga.upf
Mg 24.30 Mg.upf
ATOMIC_POSITIONS angstrom
Si 2.719 2.485 2.719
Pb 2.719 0.000 0.000
Ga 0.000 0.000 0.000
Pb 0.000 0.000 2.719
Mg 0.000 2.485 0.000
CELL_PARAMETERS angstrom
5.437 0.000 0.000
0.000 4.970 0.000
0.000 0.000 5.437
```

***

# 11
Computed, not measured: a relaxed structure of SmMgGaPb at the GGA-PBE level of DFT. Values from VASP.

Results
DFT total energy: -3.6614 eV/atom
offset from the most stable computed form: 0.0 kJ per mole of atoms
D(E_F): 2.19 states/eV/cell
ΔE_f: -9.2 kcal/mol of atoms

Geometry as Quantum ESPRESSO input:
```
&SYSTEM
  ibrav = 0, nat = 4, ntyp = 4
/
ATOMIC_SPECIES
Ga 69.72 Ga.upf
Mg 24.30 Mg.upf
Pb 207.20 Pb.upf
Sm 150.36 Sm.upf
ATOMIC_POSITIONS angstrom
Ga -1.548 1.937 2.106
Mg 0.000 0.000 0.000
Pb -3.195 0.146 -0.175
Sm -1.880 -1.228 2.465
CELL_PARAMETERS angstrom
-2.863 3.311 -0.534
-3.526 -3.020 0.185
-0.234 0.563 4.745
```

***

# 12
Computed, not measured: a relaxed structure of SmMgGaPb at the GGA-PBE level of DFT. Values from VASP.

Results
DFT total energy: -3.5142 eV/atom
offset from the most stable computed form: 14.2 kJ per mole of atoms
D(E_F): 3.59 states/eV/cell
ΔE_f: -5.8 kcal/mol of atoms

Geometry as Quantum ESPRESSO input:
```
&SYSTEM
  ibrav = 0, nat = 4, ntyp = 4
/
ATOMIC_SPECIES
Sm 150.36 Sm.upf
Ga 69.72 Ga.upf
Mg 24.30 Mg.upf
Pb 207.20 Pb.upf
ATOMIC_POSITIONS angstrom
Sm 0.000 0.000 0.000
Ga 2.617 1.511 1.068
Mg 5.234 3.022 2.137
Pb 7.852 4.533 3.205
CELL_PARAMETERS angstrom
5.234 0.000 0.000
2.617 4.533 0.000
2.617 1.511 4.274
```